## BaCuSi (GGA-PBE)

Data for crystalline BaCuSi at its relaxed geometry.

Structure (POSCAR):
```
BaCuSi
1.0
6.8641 0.0000 0.0000
0.0000 6.8641 0.0000
0.0000 0.0000 6.8641
Ba Cu Si
4 4 4
Cartesian
0.0000 0.0000 0.0000
0.0000 3.4321 3.4321
3.4321 0.0000 3.4321
3.4321 3.4321 0.0000
1.7160 1.7160 1.7160
1.7160 5.1481 5.1481
5.1481 1.7160 5.1481
5.1481 5.1481 1.7160
0.0000 0.0000 3.4321
0.0000 3.4321 0.0000
3.4321 0.0000 0.0000
3.4321 3.4321 3.4321
```

Properties
As for the electronic total energy: -43.12 eV per cell. For the total magnetization, the calculation gives 0.005 μB/f.u. Its symmetry is F-43m (216). The density of states at the Fermi level comes out at 1.71 states/eV per atom. The formation energy (no corrections) is 0.661 eV per formula unit.



## CaYO2 (GGA-PBE)

Data for crystalline CaYO2 at its relaxed geometry.

Structure (POSCAR):
```
CaYO2
1.0
5.8823 0.0000 0.0000
0.0000 5.8823 0.0000
0.0000 0.0000 5.8823
Ca Y O
4 4 8
Cartesian
0.0000 0.0000 0.0000
0.0000 2.9411 2.9411
2.9411 0.0000 2.9411
2.9411 2.9411 0.0000
0.0000 0.0000 2.9411
0.0000 2.9411 0.0000
2.9411 0.0000 0.0000
2.9411 2.9411 2.9411
1.4706 1.4706 1.4706
1.4706 1.4706 4.4117
1.4706 4.4117 1.4706
1.4706 4.4117 4.4117
4.4117 1.4706 1.4706
4.4117 1.4706 4.4117
4.4117 4.4117 1.4706
4.4117 4.4117 4.4117
```

Properties
As for the electronic total energy: -109.35 eV per cell. For the total magnetization, the calculation gives 0.000 μB/f.u. Its symmetry is Fm-3m (225). The density of states at the Fermi level comes out at 0.43 states/eV per atom. The formation energy (no corrections) is -8.954 eV per formula unit. The polymorph energy (0 for the lowest one) comes out at 611 meV/atom.



## ReBr2O2 (GGA-PBE)

Data for crystalline ReBr2O2 at its relaxed geometry.

Structure (POSCAR):
```
ReBr2O2
1.0
6.4586 0.0000 0.0000
-0.8757 6.5682 0.0000
-2.9355 -0.4204 7.2485
Re Br O
2 4 4
Cartesian
0.1754 2.7884 1.0600
2.4720 3.3594 6.1885
-1.0039 1.3863 2.6906
1.7672 0.9140 0.9291
0.8802 5.2338 6.3194
3.6513 4.7615 4.5579
-2.1951 2.6352 6.4672
0.9871 3.9733 1.9623
1.6604 2.1745 5.2862
4.8426 3.5126 0.7813
```

Properties
As for the electronic total energy: -60.22 eV per cell. For the total magnetization, the calculation gives 0.000 μB/f.u. Its symmetry is P-1 (2). The formation energy (no corrections) is -4.401 eV per formula unit.



## Er2TiZn12Cu3 (GGA-PBE)

Data for crystalline Er2TiZn12Cu3 at its relaxed geometry.

Structure (POSCAR):
```
Er2TiZn12Cu3
1.0
3.7425 2.1607 6.9711
-3.7425 2.1607 6.9711
0.0000 -4.3215 6.9711
Er Ti Zn Cu
2 1 12 3
Cartesian
0.0000 0.0000 1.7627
0.0000 0.0000 19.1505
0.0000 0.0000 10.4566
-2.3645 -1.3652 9.6225
0.0000 -1.5750 8.3457
-1.3640 0.7875 8.3457
0.0000 -2.7303 11.2907
-2.3645 1.3652 11.2907
-1.3640 -0.7875 12.5675
1.3640 0.7875 8.3457
2.3645 -1.3652 9.6225
0.0000 2.7303 9.6225
1.3640 -0.7875 12.5675
0.0000 1.5750 12.5675
2.3645 1.3652 11.2907
-1.8713 -1.0804 6.9711
-1.8713 1.0804 13.9421
0.0000 2.1607 6.9711
```

Properties
The calculation puts the calculated formation energy at 0.1811 eV/atom. As for the electronic total energy: -41.34 eV per cell. For the total magnetization, the calculation gives 0.000 μB/f.u. Its symmetry is R-3m (166). The density of states at the Fermi level comes out at 0.39 states/eV per atom.



## Rb3Tl2AgCl6 (GGA-PBE)

Data for crystalline Rb3Tl2AgCl6 at its relaxed geometry.

Structure (POSCAR):
```
Rb3Tl2AgCl6
1.0
3.9779 -7.0437 0.0000
3.9779 7.0437 0.0000
-2.5041 0.0000 7.3656
Rb Tl Ag Cl
3 2 1 6
Cartesian
0.0000 0.0000 0.0000
3.9779 2.3060 0.0000
3.9779 -2.3060 0.0000
2.7258 4.5677 3.6828
2.7258 -4.5677 3.6828
2.7258 0.0000 3.6828
1.3276 2.3491 1.8331
0.6292 0.0000 5.1167
1.3276 -2.3491 1.8331
4.1241 2.3491 5.5326
4.8225 0.0000 2.2490
4.1241 -2.3491 5.5326
```

Properties
As for the electronic total energy: -37.85 eV per cell. For the total magnetization, the calculation gives 0.000 μB/f.u. Its symmetry is C2/m (12). The density of states at the Fermi level comes out at 0.00 states/eV per atom. The formation energy (no corrections) is -16.287 eV per formula unit.



## MgBe2V (GGA-PBE)

Data for crystalline MgBe2V at its relaxed geometry.

Structure (POSCAR):
```
MgBe2V
1.0
8.7251 0.0000 0.0000
0.0000 4.2471 0.0000
-0.7943 0.0000 5.5435
Mg Be V
4 8 4
Cartesian
0.8763 0.0000 2.1654
2.6919 2.1235 3.3781
5.2389 2.1235 2.1654
7.0544 0.0000 3.3781
0.0000 1.0696 0.0000
0.0000 3.1774 0.0000
0.0919 2.1235 3.8202
3.4763 0.0000 1.7233
4.3625 1.0539 0.0000
4.3625 3.1932 0.0000
4.4544 0.0000 3.8202
7.8389 2.1235 1.7233
1.3957 0.0000 5.1498
2.1725 2.1235 0.3937
5.7582 2.1235 5.1498
6.5351 0.0000 0.3937
```

Properties
The calculation puts the calculated formation energy at 0.1481 eV/atom. As for the electronic total energy: -70.29 eV per cell. For the total magnetization, the calculation gives 0.000 μB/f.u. Its symmetry is C2/m (12). The density of states at the Fermi level comes out at 0.34 states/eV per atom.



## CsKNa2I (GGA-PBE)

Data for crystalline CsKNa2I at its relaxed geometry.

Structure (POSCAR):
```
CsKNa2I
1.0
6.6783 0.0000 0.0000
0.0000 6.6783 0.0000
0.0000 0.0000 6.9307
Cs K Na I
1 1 2 1
Cartesian
0.0000 0.0000 0.0000
3.3391 3.3391 0.0000
0.0000 3.3391 3.4653
3.3391 0.0000 3.4653
3.3391 3.3391 3.4653
```

Properties
As for the electronic total energy: -7.86 eV per cell. For the total magnetization, the calculation gives 0.000 μB/f.u. Its symmetry is P4/mmm (123). The density of states at the Fermi level comes out at 0.67 states/eV per atom. The formation energy (no corrections) is -1.725 eV per formula unit. The polymorph energy (0 for the lowest one) comes out at 15 meV/atom.



## PrIn2Pd (GGA-PBE)

Data for crystalline PrIn2Pd at its relaxed geometry.

Structure (POSCAR):
```
PrIn2Pd
1.0
3.3911 0.0000 0.0000
-1.6955 2.9367 0.0000
0.0000 0.0000 31.6596
Pr In Pd
3 6 3
Cartesian
0.0000 0.0000 0.0000
0.0000 1.9578 21.1064
1.6955 0.9789 10.5532
0.0000 0.0000 3.2539
0.0000 0.0000 28.4057
0.0000 1.9578 17.8525
0.0000 1.9578 24.3603
1.6955 0.9789 7.2993
1.6955 0.9789 13.8071
0.0000 0.0000 15.8298
0.0000 1.9578 5.2766
1.6955 0.9789 26.3830
```

Properties
The calculation puts the calculated formation energy at -0.0519 eV/atom. As for the electronic total energy: -46.97 eV per cell. For the total magnetization, the calculation gives 0.000 μB/f.u. Its symmetry is R-3m (166). The density of states at the Fermi level comes out at 0.81 states/eV per atom.



## La2FePt2 (GGA-PBE)

Data for crystalline La2FePt2 at its relaxed geometry.

Structure (POSCAR):
```
La2FePt2
1.0
5.7324 0.0000 0.0000
0.0000 5.7324 0.0000
0.0000 0.0000 7.7471
La Fe Pt
4 2 4
Cartesian
0.0000 2.8662 1.9368
0.0000 2.8662 5.8104
2.8662 0.0000 1.9368
2.8662 0.0000 5.8104
0.0000 0.0000 0.0000
2.8662 2.8662 3.8736
0.0000 0.0000 2.5304
0.0000 0.0000 5.2167
2.8662 2.8662 1.3432
2.8662 2.8662 6.4040
```

Properties
The calculation puts the calculated formation energy at -0.5575 eV/atom. As for the electronic total energy: -66.37 eV per cell. For the total magnetization, the calculation gives 2.866 μB/f.u. Its symmetry is I4/mmm (139). The density of states at the Fermi level comes out at 0.67 states/eV per atom. The polymorph energy (0 for the lowest one) comes out at 0 meV/atom.



## LaAgW4 (GGA-PBE)

Data for crystalline LaAgW4 at its relaxed geometry.

Structure (POSCAR):
```
LaAgW4
1.0
0.0000 3.9005 3.9005
3.9005 0.0000 3.9005
3.9005 3.9005 0.0000
La Ag W
1 1 4
Cartesian
0.0000 0.0000 0.0000
1.9503 1.9503 1.9503
4.8776 2.9234 2.9234
2.9234 4.8776 2.9234
2.9234 2.9234 4.8776
4.8776 4.8776 4.8776
```

Properties
The calculation puts the calculated formation energy at 0.6508 eV/atom. As for the electronic total energy: -55.69 eV per cell. For the total magnetization, the calculation gives 0.000 μB/f.u. Its symmetry is F-43m (216). The density of states at the Fermi level comes out at 1.13 states/eV per atom.



## LiAuS2 (GGA-PBE)

Data for crystalline LiAuS2 at its relaxed geometry.

Structure (POSCAR):
```
LiAuS2
1.0
5.3104 0.0000 0.0000
0.0000 5.3104 0.0000
0.0000 0.0000 12.3321
Li Au S
4 4 8
Cartesian
0.0000 0.0000 0.0000
0.0000 2.6552 3.0830
2.6552 0.0000 9.2491
2.6552 2.6552 6.1660
0.0000 0.0000 6.1660
0.0000 2.6552 9.2491
2.6552 0.0000 3.0830
2.6552 2.6552 0.0000
1.2728 1.3276 7.7076
1.3276 3.9280 10.7906
1.3276 4.0376 4.6245
1.3824 1.3276 1.5415
3.9280 3.9828 1.5415
3.9828 1.2728 4.6245
3.9828 1.3824 10.7906
4.0376 3.9828 7.7076
```

Properties
As for the electronic total energy: -57.32 eV per cell. For the total magnetization, the calculation gives 0.000 μB/f.u. Its symmetry is I-42d (122). The density of states at the Fermi level comes out at 0.58 states/eV per atom. The formation energy (no corrections) is -0.884 eV per formula unit.



## Tb6Nd5Sc (GGA-PBE)

Data for crystalline Tb6Nd5Sc at its relaxed geometry.

Structure (POSCAR):
```
Tb6Nd5Sc
1.0
-2.5395 5.0655 7.6174
2.5395 -5.0655 7.6174
2.5395 5.0655 -7.6174
Tb Nd Sc
6 5 1
Cartesian
2.5395 2.4999 -2.5131
0.0000 2.4793 0.0000
2.5395 2.4999 2.5131
0.0000 2.5656 5.1044
0.0000 7.6516 0.0000
0.0000 2.5656 10.1305
0.0000 0.0000 2.4935
2.5395 0.0000 5.0839
0.0000 0.0000 7.6174
0.0000 5.0655 2.5335
0.0000 0.0000 12.7413
2.5395 0.0000 0.0000
```

Properties
The calculation puts the calculated formation energy at 0.0298 eV/atom. As for the electronic total energy: -57.59 eV per cell. For the total magnetization, the calculation gives 0.000 μB/f.u. Its symmetry is Immm (71). The density of states at the Fermi level comes out at 1.50 states/eV per atom. The polymorph energy (0 for the lowest one) comes out at 5 meV/atom.